#w
Crystalline Rb2Hg2S at its relaxed geometry, computed with PBE.

POSCAR file:
```
Rb2Hg2S
1.0
8.4265 0.0000 0.0000
0.0000 8.4265 0.0000
0.0000 0.0000 5.0906
Rb S Hg
4 2 4
direct
0.1830 0.6830 0.5000
0.6830 0.8170 0.5000
0.3170 0.1830 0.5000
0.8170 0.3170 0.5000
0.0000 0.0000 0.0000
0.5000 0.5000 0.0000
0.3697 0.8697 0.0000
0.1303 0.3697 0.0000
0.6303 0.1303 0.0000
0.8697 0.6303 0.0000
```

#x
Crystalline Rb2Hg2S at its relaxed geometry, computed with PBE.

POSCAR file:
```
Rb2Hg2S
1.0
8.4153 0.0000 0.0000
0.0000 8.4153 0.0000
0.0000 0.0000 6.1855
Hg Rb S
4 4 2
direct
0.6511 0.8489 0.5000
0.3489 0.1511 0.5000
0.1511 0.6511 0.5000
0.8489 0.3489 0.5000
0.1647 0.3353 0.0000
0.8353 0.6647 0.0000
0.6647 0.1647 0.0000
0.3353 0.8353 0.0000
0.0000 0.0000 0.0000
0.5000 0.5000 0.0000
```

Quick one: most stable of them? #x